1.
SnPPdCl2 after structural relaxation. Source: the Alexandria database, functional PBE.

Summary:
Energy relative to the lowest polymorph listed for this composition, eV per formula unit: 1.29
Formation energy without anion corrections, eV per atom: 0.264

a = 4.4990 Å, b = 4.4990 Å, c = 5.8272 Å
α = 90.00°, β = 90.00°, γ = 90.00°
With the nearest neighbours (Å) after each atom.
Space group P4/mmm (No. 123)
One atom of each set of equivalent atoms:
Sn 0.0000 0.0000 0.0000 (multiplicity 1)  2 P 2.91, 4 Pd 3.18
P 0.0000 0.0000 0.5000 (multiplicity 1)  4 Cl 2.25
Pd 0.5000 0.5000 0.0000 (multiplicity 1)  4 Sn 3.18
Cl 0.0000 0.5000 0.5000 (multiplicity 2)  2 P 2.25



2.
Tl5Cd4 after structural relaxation. Source: the Alexandria database, functional PBE.

Summary:
Energy relative to the lowest polymorph listed for this composition, eV per formula unit: 0.00

a = 10.0708 Å, b = 10.0708 Å, c = 4.9040 Å
α = 90.00°, β = 90.00°, γ = 90.00°
With the nearest neighbours (Å) after each atom.
Space group I4/mmm (No. 139)
One atom of each set of equivalent atoms:
Tl 0.0000 0.0000 0.0000 (multiplicity 2)  8 Tl 3.45, 4 Cd 3.49
Tl 0.1705 0.1705 0.5000 (multiplicity 8)  6 Cd 3.32-3.48, 6 Tl 3.34-3.45
Cd 0.0000 0.3465 0.0000 (multiplicity 8)  5 Cd 3.09-3.29, 2 Tl 3.32



3.
LaReSi after structural relaxation. Source: the Alexandria database, functional PBE.

Summary:
Formation energy without anion corrections, eV per atom: 1.432

a = 6.7019 Å, b = 6.7019 Å, c = 6.7019 Å
α = 90.00°, β = 90.00°, γ = 90.00°
With the nearest neighbours (Å) after each atom.
Space group F-43m (No. 216)
One atom of each set of equivalent atoms:
La 0.0000 0.0000 0.0000 (multiplicity 4)  4 Si 2.90, 4 Re 2.90
Re 0.2500 0.2500 0.7500 (multiplicity 4)  4 La 2.90
Si 0.2500 0.2500 0.2500 (multiplicity 4)  4 La 2.90



4.
Ac5La3Sn12 after structural relaxation. Source: the Alexandria database, functional PBE.

Summary:
Final energy, eV per atom: -4.37

a = 18.8916 Å, b = 18.8916 Å, c = 18.8916 Å
α = 90.00°, β = 90.00°, γ = 90.00°
With the nearest neighbours (Å) after each atom.
Space group Ia-3d (No. 230)
One atom of each set of equivalent atoms:
Ac 0.0000 0.0000 0.0000 (multiplicity 16)  6 Sn 3.33
Ac 0.0000 0.2500 0.3750 (multiplicity 24)  4 Sn 3.37
La 0.0000 0.2500 0.1250 (multiplicity 24)  8 Sn 3.26
Sn 0.0043 0.0802 0.1566 (multiplicity 96)  1 Sn 2.92, 2 La 3.26



5.
Cd2SiMo after structural relaxation. Source: the Alexandria database, functional PBE.

Summary:
Formation energy without anion corrections, eV per atom: 0.138

a = 3.2838 Å, b = 3.2838 Å, c = 6.9101 Å
α = 90.00°, β = 90.00°, γ = 90.00°
With the nearest neighbours (Å) after each atom.
Space group P4mm (No. 99)
One atom of each set of equivalent atoms:
Cd 0.0000 0.0000 0.0000 (multiplicity 1)  1 Mo 2.94, 8 Cd 3.06-3.28, 4 Si 3.10
Cd 0.5000 0.5000 0.2885 (multiplicity 1)  1 Si 2.87, 4 Mo 3.05, 4 Cd 3.06
Si 0.5000 0.5000 0.7032 (multiplicity 1)  4 Mo 2.49
Mo 0.0000 0.0000 0.5743 (multiplicity 1)  4 Si 2.49



6.
YAl2Cu3 after structural relaxation. Source: the Alexandria database, functional PBE.

Summary:
Final energy, eV per atom: -4.70

a = 9.5755 Å, b = 7.7725 Å, c = 5.3357 Å
α = 90.00°, β = 90.00°, γ = 90.00°
With the nearest neighbours (Å) after each atom.
Space group Cmcm (No. 63)
One atom of each set of equivalent atoms:
Y 0.0000 0.1750 0.2500 (multiplicity 4)  5 Cu 2.91-3.08
Al 0.2140 0.5000 0.0000 (multiplicity 8)  6 Cu 2.44-2.67, 2 Al 2.67
Cu 0.0000 0.4511 0.7500 (multiplicity 4)  2 Cu 2.41, 4 Al 2.47
Cu 0.1583 0.2101 0.7500 (multiplicity 8)  1 Cu 2.41, 4 Al 2.44-2.67



7.
Pr5HoTm2Th after structural relaxation. Source: the Alexandria database, functional PBE.

Summary:
Final energy, eV per atom: -4.84

a = 5.4363 Å, b = 21.6380 Å, c = 10.6808 Å
α = 90.00°, β = 90.00°, γ = 90.00°
With the nearest neighbours (Å) after each atom.
Space group Cmcm (No. 63)
One atom of each set of equivalent atoms:
Pr 0.0000 0.0000 0.0000 (multiplicity 4)  2 Ho 3.46, 4 Tm 3.65, 6 Pr 3.81
Pr 0.0000 0.1259 0.2500 (multiplicity 4)  1 Th 3.50, 6 Pr 3.81-3.88, 4 Tm 3.86
Pr 0.0000 0.2216 0.5570 (multiplicity 8)  2 Pr 3.22, 1 Ho 3.32, 3 Th 3.42-3.58
Pr 0.0000 0.4978 0.7500 (multiplicity 4)  2 Ho 3.53, 4 Tm 3.60-3.63, 6 Pr 3.81
Ho 0.0000 0.1015 0.7500 (multiplicity 4)  6 Pr 3.32-3.53, 2 Th 3.62
Tm 0.0000 0.3875 0.0055 (multiplicity 8)  1 Th 3.39, 7 Pr 3.60-3.65, 2 Ho 3.78
Th 0.0000 0.2878 0.2500 (multiplicity 4)  2 Tm 3.39, 7 Pr 3.42-3.58, 2 Ho 3.62



8.
La3Pm4Nd4 after structural relaxation. Source: the Alexandria database, functional PBE.

Summary:
Energy relative to the lowest polymorph listed for this composition, eV per formula unit: 0.00

a = 10.9979 Å, b = 5.8909 Å, c = 12.2819 Å
α = 90.00°, β = 90.00°, γ = 90.00°
With the nearest neighbours (Å) after each atom.
Space group Amm2 (No. 38)
One atom of each set of equivalent atoms:
La 0.0000 0.0000 0.0000 (multiplicity 2)  7 Nd 3.66-3.85, 5 Pm 3.69-3.83, 2 La 3.75
La 0.2931 0.0000 0.1558 (multiplicity 4)  3 Pm 3.40-3.71, 4 Nd 3.65-3.73, 1 La 3.75
Pm 0.0000 0.0000 0.3005 (multiplicity 2)  4 Nd 3.18-3.35
Pm 0.3026 0.0000 0.8538 (multiplicity 4)  4 Nd 3.46-3.81, 2 Pm 3.66, 4 La 3.71-3.82
Pm 0.5000 0.0000 0.3610 (multiplicity 2)  3 Nd 3.36-3.55, 2 La 3.40, 4 Pm 3.66
Nd 0.0000 0.0000 0.7022 (multiplicity 2)  2 Pm 3.18, 2 Nd 3.46
Nd 0.2135 0.0000 0.4950 (multiplicity 4)  4 Pm 3.35-3.56, 2 Nd 3.46-3.58, 2 La 3.65
Nd 0.5000 0.0000 0.6342 (multiplicity 2)  3 Pm 3.36-3.46, 2 Nd 3.58, 4 La 3.73



9.
Ce2Al4Ga3Au after structural relaxation. Source: the Alexandria database, functional PBE.

Summary:
Final energy, eV per atom: -4.39

a = 4.3007 Å, b = 4.3007 Å, c = 10.8099 Å
α = 90.00°, β = 90.00°, γ = 90.00°
With the nearest neighbours (Å) after each atom.
Space group P-4m2 (No. 115)
One atom of each set of equivalent atoms:
Ce 0.0000 0.5000 0.2491 (multiplicity 2)  6 Ga 3.27-3.45, 8 Al 3.29-3.46, 2 Au 3.45
Al 0.0000 0.0000 0.5000 (multiplicity 1)  4 Ga 2.62
Al 0.0000 0.5000 0.8683 (multiplicity 2)  3 Ga 2.48-2.58, 2 Au 2.58
Al 0.5000 0.5000 0.5000 (multiplicity 1)  4 Ga 2.62
Ga 0.0000 0.0000 0.0000 (multiplicity 1)  4 Al 2.58
Ga 0.0000 0.5000 0.6386 (multiplicity 2)  5 Al 2.48-2.62
Au 0.5000 0.5000 0.0000 (multiplicity 1)  4 Al 2.58



10.
Sm3YEr2Bi6 after structural relaxation. Source: the Alexandria database, functional PBE.

Summary:
Final energy, eV per atom: -5.30

a = 19.6461 Å, b = 4.5107 Å, c = 9.0159 Å
α = 90.00°, β = 103.14°, γ = 90.00°
With the nearest neighbours (Å) after each atom.
Space group C2/m (No. 12)
One atom of each set of equivalent atoms:
Sm 0.0000 0.0000 0.0000 (multiplicity 2)  6 Bi 3.21-3.22
Sm 0.1662 0.5000 0.3331 (multiplicity 4)  6 Bi 3.21-3.22
Y 0.0000 0.0000 0.5000 (multiplicity 2)  6 Bi 3.17
Er 0.1668 0.5000 0.8332 (multiplicity 4)  6 Bi 3.15-3.16
Bi 0.0019 0.5000 0.7478 (multiplicity 4)  1 Er 3.15, 2 Y 3.17, 3 Sm 3.21-3.22
Bi 0.1658 0.0000 0.5880 (multiplicity 4)  2 Er 3.16, 1 Y 3.17, 3 Sm 3.21-3.22
Bi 0.1684 0.0000 0.0790 (multiplicity 4)  3 Er 3.15-3.16, 3 Sm 3.22



The following calculated volume values (in A^3/atom) correspond, in order, to the records above: 23.590 27.631 25.085 42.139 18.628 16.546 34.900 36.168 19.994 32.418.